Entry from OQMD: an optimized crystal structure of LiIn2Hg (PBE-GGA).

Lattice parameters (Å, degrees): 5.1073 5.1073 5.1073 60.00 60.00 60.00
Closest atoms and distances in Å follow each position.
Positions (direct):
1 Hg 0.2500 0.2500 0.2500  4 Li 3.13, 4 In 3.13
2 In 0.7500 0.7500 0.7500  4 In 3.13, 4 Li 3.13
3 In 0.0000 0.0000 0.0000  4 In 3.13, 4 Hg 3.13
4 Li 0.5000 0.5000 0.5000  4 In 3.13, 4 Hg 3.13

## Properties
Its space group is F-43m. The total energy comes out at -2.05 eV/atom.



Entry from OQMD: an optimized crystal structure of TbYIr4 (PBE-GGA).

Lattice parameters (Å, degrees): 5.3571 5.3571 5.3571 60.00 60.00 60.00
Closest atoms and distances in Å follow each position.
Positions (direct):
1 Tb 0.0000 0.0000 0.0000  12 Ir 3.14, 4 Y 3.28
2 Y 0.7500 0.7500 0.7500  12 Ir 3.14, 4 Tb 3.28
3 Ir 0.3750 0.3750 0.3750  6 Ir 2.68
4 Ir 0.3750 0.8750 0.3750  6 Ir 2.68
5 Ir 0.8750 0.3750 0.3750  6 Ir 2.68
6 Ir 0.3750 0.3750 0.8750  6 Ir 2.68

## Properties
The value obtained for the formation energy is -804 meV/atom. Its space group is F-43m. The total energy comes out at -8.56 eV/atom.



Entry from OQMD: an optimized crystal structure of Pr2ZnPt (PBE-GGA).

Lattice parameters (Å, degrees): 6.0537 4.6001 7.9097 90.00 112.07 90.00
Closest atoms and distances in Å follow each position.
Positions (direct):
1 Pr 0.3153 0.7500 0.0834  3 Pt 3.01-3.09, 4 Zn 3.13-3.20
2 Pr 0.7827 0.7500 0.5688  4 Pt 3.09-3.23, 3 Zn 3.09-3.17
3 Pr 0.6847 0.2500 0.9166  3 Pt 3.01-3.09, 4 Zn 3.13-3.20
4 Pr 0.2173 0.2500 0.4312  4 Pt 3.09-3.23, 3 Zn 3.09-3.17
5 Zn 0.1295 0.2500 0.7917  2 Pt 2.84, 6 Pr 3.09-3.17
6 Zn 0.8705 0.7500 0.2083  2 Pt 2.84, 6 Pr 3.09-3.17
7 Pt 0.6514 0.2500 0.2875  2 Zn 2.84, 6 Pr 3.01-3.18
8 Pt 0.3486 0.7500 0.7125  2 Zn 2.84, 6 Pr 3.01-3.18

## Properties
The value obtained for the formation energy is -716 meV/atom. Its space group is P2_1/m. The total energy comes out at -4.93 eV/atom.



Entry from OQMD: an optimized crystal structure of FeReSbPt (PBE-GGA).

Lattice parameters (Å, degrees): 4.4740 4.4740 4.4740 60.00 60.00 60.00
Closest atoms and distances in Å follow each position.
Positions (direct):
1 Sb 0.0000 0.0000 0.0000  4 Fe 2.74, 4 Re 2.74
2 Pt 0.5000 0.5000 0.5000  4 Re 2.74, 4 Fe 2.74
3 Re 0.2500 0.2500 0.2500  4 Pt 2.74, 4 Sb 2.74
4 Fe 0.7500 0.7500 0.7500  4 Pt 2.74, 4 Sb 2.74

## Properties
For the energy above the most stable polymorph in this dataset, the calculation gives 0.00 eV/f.u. Its space group is F-43m. The total energy comes out at -7.41 eV/atom.



Entry from OQMD: an optimized crystal structure of PrNd2Co2B2As3 (PBE-GGA).

Lattice parameters (Å, degrees): 11.7700 11.7700 11.7700 160.09 160.09 28.30
Closest atoms and distances in Å follow each position.
Positions (direct):
1 Pr 0.0000 0.0000 0.0000  6 As 2.88-2.92
2 Co 0.7500 0.2500 0.5000  4 B 2.14
3 Co 0.2500 0.7500 0.5000  4 B 2.14
4 As 0.5000 0.5000 0.0000  4 Pr 2.88
5 As 0.1280 0.1280 0.0000  1 B 2.11
6 As 0.8720 0.8720 0.0000  1 B 2.11
7 Nd 0.3563 0.3563 0.0000  4 As 2.90, 1 B 3.10, 4 Co 3.17
8 Nd 0.6437 0.6437 0.0000  4 As 2.90, 1 B 3.10, 4 Co 3.17
9 B 0.7797 0.7797 0.0000  1 As 2.11, 4 Co 2.14
10 B 0.2203 0.2203 0.0000  1 As 2.11, 4 Co 2.14

## Properties
Its space group is I4/mmm. The total energy comes out at -6.28 eV/atom.



Entry from OQMD: an optimized crystal structure of ZnCoHgOs (PBE-GGA).

Lattice parameters (Å, degrees): 4.4204 4.4204 4.4204 60.00 60.00 60.00
Closest atoms and distances in Å follow each position.
Positions (direct):
1 Zn 0.0000 0.0000 0.0000  4 Co 2.71, 4 Hg 2.71
2 Hg 0.2500 0.2500 0.2500  4 Os 2.71, 4 Zn 2.71
3 Os 0.5000 0.5000 0.5000  4 Hg 2.71, 4 Co 2.71
4 Co 0.7500 0.7500 0.7500  4 Os 2.71, 4 Zn 2.71

## Properties
The value obtained for the formation energy is 665 meV/atom. For the energy above the most stable polymorph in this dataset, the calculation gives 0.00 eV/f.u. Its space group is F-43m. The total energy comes out at -4.31 eV/atom.